Entry 1:
A plane-wave DFT calculation with SCAN was carried out for a crystal of CuB2Rh relaxed with PBEsol.

Values from the calculation:
For the density of states at the Fermi level, the calculation gives 0.446 states/eV/atom. The total energy comes out at -15.534 eV/atom. The value obtained for the mass density is 8.5 g cm⁻³. The calculated formation energy comes out at 163 kJ/mol of formula units.

```
data_CuB2Rh
_space_group_name_H-M_alt 'P 1'
_space_group_IT_number 1
_space_group_name_Hall 'P 1'
_cell_length_a 3.7332
_cell_length_b 3.7332
_cell_length_c 3.7332
_cell_angle_alpha 60.00
_cell_angle_beta 60.00
_cell_angle_gamma 60.00
loop_
_atom_site_label
_atom_site_type_symbol
_atom_site_fract_x
_atom_site_fract_y
_atom_site_fract_z
Cu1 Cu 0.0000 0.0000 0.0000
B1 B 0.2500 0.2500 0.2500
B2 B 0.7500 0.7500 0.7500
Rh1 Rh 0.5000 0.5000 0.5000
```

---

Entry 2:
A plane-wave DFT calculation with SCAN was carried out for a crystal of MgAg2Au relaxed with PBEsol.

Values from the calculation:
For the density of states at the Fermi level, the calculation gives 0.256 states/eV/atom. The total energy comes out at -34.539 eV/atom. The value obtained for the mass density is 10.7 g cm⁻³. The calculated formation energy comes out at -125 kJ/mol of formula units.

```
data_MgAg2Au
_space_group_name_H-M_alt 'P 1'
_space_group_IT_number 1
_space_group_name_Hall 'P 1'
_cell_length_a 4.9423
_cell_length_b 4.9423
_cell_length_c 4.9423
_cell_angle_alpha 130.85
_cell_angle_beta 130.85
_cell_angle_gamma 72.05
loop_
_atom_site_label
_atom_site_type_symbol
_atom_site_fract_x
_atom_site_fract_y
_atom_site_fract_z
Mg1 Mg 0.0000 0.0000 0.0000
Ag1 Ag 0.5000 0.5000 0.0000
Ag2 Ag 0.7500 0.2500 0.5000
Au1 Au 0.2500 0.7500 0.5000
```

---

Entry 3:
A plane-wave DFT calculation with SCAN was carried out for a crystal of AgAuO2 relaxed with PBEsol.

Values from the calculation:
The total energy comes out at -28.493 eV/atom. The value obtained for the mass density is 9.6 g cm⁻³.

```
data_AgAuO2
_space_group_name_H-M_alt 'P 1'
_space_group_IT_number 1
_space_group_name_Hall 'P 1'
_cell_length_a 5.3601
_cell_length_b 5.2172
_cell_length_c 4.1534
_cell_angle_alpha 90.00
_cell_angle_beta 90.00
_cell_angle_gamma 90.00
loop_
_atom_site_label
_atom_site_type_symbol
_atom_site_fract_x
_atom_site_fract_y
_atom_site_fract_z
Ag1 Ag 0.0000 0.0000 0.0000
Ag2 Ag 0.5000 0.0000 0.5000
Au1 Au 0.0000 0.5000 0.5000
Au2 Au 0.5000 0.5000 0.0000
O1 O 0.2500 0.2937 0.2500
O2 O 0.2500 0.7063 0.7500
O3 O 0.7500 0.2937 0.2500
O4 O 0.7500 0.7063 0.7500
```

---

Entry 4:
A plane-wave DFT calculation with SCAN was carried out for a crystal of InRe2Br relaxed with PBEsol.

Values from the calculation:
For the density of states at the Fermi level, the calculation gives 0.857 states/eV/atom. The total energy comes out at -47.486 eV/atom. The value obtained for the mass density is 13.8 g cm⁻³. The energy above the most stable polymorph in this dataset comes out at 0.00 eV/f.u.

```
data_InRe2Br
_space_group_name_H-M_alt 'P 1'
_space_group_IT_number 1
_space_group_name_Hall 'P 1'
_cell_length_a 2.9047
_cell_length_b 2.9047
_cell_length_c 9.4150
_cell_angle_alpha 90.00
_cell_angle_beta 90.00
_cell_angle_gamma 120.52
loop_
_atom_site_label
_atom_site_type_symbol
_atom_site_fract_x
_atom_site_fract_y
_atom_site_fract_z
In1 In 0.0000 0.0000 0.0000
Re1 Re 0.5000 0.5000 0.2519
Re2 Re 0.5000 0.5000 0.7481
Br1 Br 0.0000 0.0000 0.5000
```